# 1
Computed, not measured: a relaxed structure of Ca4TcAg at the GGA-PBE level of DFT.

Cell: 6.327 6.327 6.327 Å, 60.00 60.00 60.00°
Each line ends with the local moment (μB).
Sites, in units of the cell vectors:
Tc 0.750 0.750 0.750  2.35
Ag 0.000 0.000 0.000  0.00
Ca 0.376 0.376 0.872  -0.06
Ca 0.376 0.872 0.376  -0.06
Ca 0.376 0.376 0.376  -0.06
Ca 0.872 0.376 0.376  -0.06

Properties
For the energy of formation, the calculation gives 952 meV per atom.

***

# 2
Computed, not measured: a relaxed structure of PaTi3 at the GGA-PBE level of DFT.

Cell: 4.247 4.247 4.247 Å, 90.00 90.00 90.00°
Sites, in units of the cell vectors:
Ti 0.000 0.500 0.500
Ti 0.500 0.000 0.500
Ti 0.500 0.500 0.000
Pa 0.000 0.000 0.000

Properties
For the energy of formation, the calculation gives 146 meV per atom. The offset from the most stable computed form comes out at 97.6 meV per atom.

***

# 3
Computed, not measured: a relaxed structure of BeRu2 at the GGA-PBE level of DFT.

Cell: 6.537 6.537 4.305 Å, 90.00 90.00 156.08°
Sites, in units of the cell vectors:
Ru 0.561 0.439 0.250
Be 0.777 0.223 0.750
Ru 0.880 0.120 0.250
Ru 0.439 0.561 0.750
Be 0.223 0.777 0.250
Ru 0.120 0.880 0.750

Properties
For the energy of formation, the calculation gives 32 meV per atom.

***

# 4
Computed, not measured: a relaxed structure of CeNd2Pb3 at the GGA-PBE level of DFT.

Cell: 7.957 7.922 7.922 Å, 120.19 99.58 99.58°
Each line ends with the local moment (μB).
Sites, in units of the cell vectors:
Pb 0.004 0.178 0.340  0.01
Pb 0.500 0.000 0.500  0.01
Nd 0.750 0.083 0.917  -0.02
Ce 0.750 0.414 0.586  0.50
Nd 0.250 0.917 0.083  -0.02
Nd 0.250 0.247 0.753  -0.02
Pb 0.504 0.340 0.178  0.01
Nd 0.750 0.753 0.247  -0.02
Pb 0.496 0.660 0.822  0.01
Pb 0.996 0.822 0.660  0.01
Pb 0.000 0.500 0.000  0.01
Ce 0.250 0.586 0.414  0.50

Properties
For the energy of formation, the calculation gives -374 meV per atom. The offset from the most stable computed form comes out at 103.7 meV per atom.

***

# 5
Computed, not measured: a relaxed structure of Zr2BeZnCu at the GGA-PBE level of DFT.

Cell: 4.991 3.965 4.991 Å, 90.00 90.00 90.00°
Sites, in units of the cell vectors:
Zr 0.000 0.000 0.500
Be 0.000 0.500 0.000
Zn 0.000 0.000 0.000
Zr 0.500 0.000 0.000
Cu 0.500 0.500 0.500

Properties
For the energy of formation, the calculation gives 677 meV per atom.

***

# 6
Computed, not measured: a relaxed structure of CoSiAs2Se at the GGA-PBE level of DFT.

Cell: 4.411 4.411 5.180 Å, 90.00 90.00 90.00°
Sites, in units of the cell vectors:
Si 0.500 0.500 0.500
As 0.000 0.500 0.000
As 0.500 0.000 0.000
Co 0.000 0.000 0.000
Se 0.000 0.000 0.500

Properties
The offset from the most stable computed form comes out at 0.0 meV per atom. As for the raw formation energy: 0.5574 eV per atom.

***

# 7
Computed, not measured: a relaxed structure of DyTl3In3Br8 at the GGA-PBE level of DFT.

Cell: 9.512 9.535 9.525 Å, 120.19 90.00 119.92°
Sites, in units of the cell vectors:
Br 0.212 0.001 0.291
Br 0.788 0.999 0.709
Br 0.749 0.498 0.746
In 0.500 0.000 0.500
Br 0.790 0.580 0.291
Br 0.210 0.420 0.709
In 0.000 0.500 0.500
Tl 0.500 0.500 0.000
In 0.500 0.500 0.500
Br 0.210 0.999 0.709
Tl 0.000 0.000 0.000
Dy 0.000 0.000 0.500
Tl 0.000 0.500 0.000
Br 0.790 0.001 0.291
Br 0.251 0.502 0.254

Properties
As for the raw formation energy: -0.9339 eV per atom.

***

# 8
Computed, not measured: a relaxed structure of PmSmCuGe at the GGA-PBE level of DFT.

Cell: 5.096 5.096 5.096 Å, 60.00 60.00 60.00°
Sites, in units of the cell vectors:
Cu 0.750 0.750 0.750
Pm 0.000 0.000 0.000
Ge 0.250 0.250 0.250
Sm 0.500 0.500 0.500

Properties
For the energy of formation, the calculation gives -472 meV per atom.

***

Number 1: mass density 3.40 Mg/m³, M_tot 2.099 Bohr magnetons per cell, VASP energy -2.58 eV/atom. Number 2: mass density 8.12 Mg/m³, M_tot 0.000 Bohr magnetons per cell, VASP energy -8.15 eV/atom. Number 3: mass density 9.40 Mg/m³, M_tot 0.000 Bohr magnetons per cell, VASP energy -7.39 eV/atom. Number 4: mass density 8.57 Mg/m³, M_tot 1.065 Bohr magnetons per cell, VASP energy -4.81 eV/atom. Number 5: mass density 5.39 Mg/m³, M_tot 0.000 Bohr magnetons per cell, VASP energy -4.56 eV/atom. Number 6: mass density 5.20 Mg/m³, M_tot 0.000 Bohr magnetons per cell, VASP energy -4.51 eV/atom. Number 7: mass density 4.79 Mg/m³, M_tot 0.000 Bohr magnetons per cell, VASP energy -3.15 eV/atom. Number 8: mass density 7.66 Mg/m³, M_tot 0.000 Bohr magnetons per cell, VASP energy -5.02 eV/atom.